Density functional theory data (PBE+U) for Cs2LiVO4 after structural relaxation.

a b c (Å): 6.9650 6.9650 8.3367
angles (deg): 90.00 90.00 127.85
Closest atoms and distances in Å follow each position.
Element x y z (fractional)
Cs1 0.0716 0.9284 0.5000  6 O 3.14-3.19
Cs2 0.3931 0.6069 0.3676  6 O 3.13-3.26, 1 Li 3.32
Cs3 0.6069 0.3931 0.8676  6 O 3.13-3.26, 1 Li 3.32
Cs4 0.9284 0.0716 0.0000  6 O 3.14-3.19
Li1 0.2042 0.7958 0.0874  4 O 1.94-2.10
Li2 0.7958 0.2042 0.5874  4 O 1.94-2.10
V1 0.2998 0.7002 0.8064  4 O 1.75
V2 0.7002 0.2998 0.3064  4 O 1.75
O1 0.1008 0.4291 0.7006  1 V 1.75, 1 Li 1.94
O2 0.1627 0.8373 0.8504  1 V 1.75
O3 0.3605 0.6395 0.9951  1 V 1.75
O4 0.4291 0.1008 0.2006  1 V 1.75, 1 Li 1.94
O5 0.5709 0.8992 0.7006  1 V 1.75, 1 Li 1.94
O6 0.6395 0.3605 0.4951  1 V 1.75
O7 0.8373 0.1627 0.3504  1 V 1.75
O8 0.8992 0.5709 0.2006  1 V 1.75, 1 Li 1.94

Relative energy among the computed polymorphs, eV per formula unit: 0.00
Total moment, μB/f.u.: 0.0
Symmetry: Cmc2_1, No. 36